This record from Alexandria via LeMat-Bulk describes crystalline Co4ReMo at its relaxed geometry. The functional is PBE.

Calculated values
- V: 11.90 A^3/atom
- Size of the total moment: 2.94 μB/f.u.
- Formation energy from the elements: 0.034 eV per atom
- Fermi-level density of states: 36.67 states/eV/cell
- Theoretical density: 12.04 g/cm3

Unit cell a=6.5855 b=6.5855 c=6.5855 alpha=90.00 beta=90.00 gamma=90.00
Last column: nearest neighbours and their distance in Å.
Space group F-43m (No. 216)
Unique sites:
Co (0.1253, 0.1253, 0.1253) [16 per cell]  6 Co 2.32-2.33
Re (0.0000, 0.0000, 0.5000) [4 per cell]  12 Co 2.73, 4 Mo 2.85
Mo (0.2500, 0.2500, 0.7500) [4 per cell]  12 Co 2.73, 4 Re 2.85


This record from Alexandria via LeMat-Bulk describes crystalline TbSm5Al6 at its relaxed geometry. The functional is PBE.

Calculated values
- V: 24.71 A^3/atom
- Size of the total moment: 0.00 μB/f.u.
- Formation energy from the elements: -0.377 eV per atom
- Fermi-level density of states: 9.47 states/eV/cell
- Theoretical density: 6.01 g/cm3

Unit cell a=5.1788 b=15.5484 c=7.3641 alpha=90.00 beta=90.00 gamma=90.00
Last column: nearest neighbours and their distance in Å.
Space group Cmmm (No. 65)
Unique sites:
Tb (0.0000, 0.0000, 0.0000) [2 per cell]  8 Al 3.15-3.17
Sm (0.0000, 0.0000, 0.5000) [2 per cell]  8 Al 3.17-3.19
Sm (0.0000, 0.3321, 0.5000) [4 per cell]  8 Al 3.19-3.20
Sm (0.0000, 0.3338, 0.0000) [4 per cell]  8 Al 3.16-3.19
Al (0.0000, 0.1653, 0.2473) [8 per cell]  1 Tb 3.15, 7 Sm 3.17-3.19
Al (0.0000, 0.5000, 0.2480) [4 per cell]  6 Sm 3.16-3.20, 2 Tb 3.17


This record from Alexandria via LeMat-Bulk describes crystalline YMoP2 at its relaxed geometry. The functional is PBE.

Calculated values
- V: 17.14 A^3/atom
- Energy above the lowest structure with this stoichiometry: 1039 meV/atom
- Size of the total moment: 0.01 μB/f.u.
- Formation energy from the elements: 0.236 eV per atom
- Fermi-level density of states: 19.37 states/eV/cell
- Theoretical density: 5.98 g/cm3

Unit cell a=6.4974 b=6.4974 c=6.4974 alpha=90.00 beta=90.00 gamma=90.00
Last column: nearest neighbours and their distance in Å.
Space group F-43m (No. 216)
Unique sites:
Y (0.0000, 0.0000, 0.0000) [4 per cell]  4 Mo 2.81, 4 P 2.81
Mo (0.2500, 0.2500, 0.2500) [4 per cell]  4 Y 2.81, 4 P 2.81
P (0.0000, 0.0000, 0.5000) [4 per cell]  4 Mo 2.81, 4 P 2.81
P (0.2500, 0.2500, 0.7500) [4 per cell]  4 Y 2.81, 4 P 2.81


This record from Alexandria via LeMat-Bulk describes crystalline YSc3Hg at its relaxed geometry. The functional is PBE.

Calculated values
- V: 30.27 A^3/atom
- Energy above the lowest structure with this stoichiometry: 0 meV/atom
- Size of the total moment: 0.00 μB/f.u.
- Formation energy from the elements: 0.286 eV per atom
- Fermi-level density of states: 5.43 states/eV/cell
- Theoretical density: 4.66 g/cm3

Unit cell a=5.3289 b=5.3289 c=5.3289 alpha=90.00 beta=90.00 gamma=90.00
Last column: nearest neighbours and their distance in Å.
Space group Pm-3m (No. 221)
Unique sites:
Y (0.0000, 0.0000, 0.0000) [1 per cell]  12 Sc 3.77
Sc (0.0000, 0.5000, 0.5000) [3 per cell]  2 Hg 2.66
Hg (0.5000, 0.5000, 0.5000) [1 per cell]  6 Sc 2.66


This record from Alexandria via LeMat-Bulk describes crystalline Li2Mg3Cd at its relaxed geometry. The functional is PBE.

Calculated values
- V: 20.21 A^3/atom
- Energy above the lowest structure with this stoichiometry: 0 meV/atom
- Size of the total moment: 0.00 μB/f.u.
- Formation energy from the elements: -0.059 eV per atom
- Fermi-level density of states: 12.71 states/eV/cell
- Theoretical density: 2.73 g/cm3

Unit cell a=8.8245 b=8.8245 c=12.4590 alpha=90.00 beta=90.00 gamma=90.00
Last column: nearest neighbours and their distance in Å.
Space group I4_1/amd (No. 141, origin choice 2)
Unique sites:
Li (0.0000, 0.0718, 0.2878) [16 per cell]  5 Mg 2.72-2.87, 1 Cd 2.86
Mg (0.0000, 0.0000, 0.5000) [8 per cell]  6 Li 2.72-2.75
Mg (0.1848, 0.0652, 0.8750) [16 per cell]  2 Li 2.87
Cd (0.0000, 0.2500, 0.0634) [8 per cell]  2 Li 2.86


This record from Alexandria via LeMat-Bulk describes crystalline InAsBr2 at its relaxed geometry. The functional is PBE.

Calculated values
- V: 33.38 A^3/atom
- Energy above the lowest structure with this stoichiometry: 265 meV/atom
- Size of the total moment: 0.00 μB/f.u.
- Fermi-level density of states: 4.57 states/eV/cell
- Formation energy (no corrections): -0.2 eV/f.u.
- Theoretical density: 4.35 g/cm3

Unit cell a=4.0201 b=7.1987 c=9.2277 alpha=90.00 beta=90.00 gamma=90.00
Last column: nearest neighbours and their distance in Å.
Space group Cmm2 (No. 35)
Unique sites:
In (0.0000, 0.0000, 0.0000) [2 per cell]  2 As 2.79, 2 Br 2.80
As (0.0000, 0.5000, 0.7901) [2 per cell]  2 Br 2.64, 2 In 2.79
Br (0.0000, 0.0000, 0.6053) [2 per cell]  2 As 2.64
Br (0.0000, 0.5000, 0.2107) [2 per cell]  2 In 2.80


This record from Alexandria via LeMat-Bulk describes crystalline MgCu4Au7 at its relaxed geometry. The functional is PBE.

Calculated values
- V: 17.69 A^3/atom
- Size of the total moment: 0.00 μB/f.u.
- Formation energy from the elements: 0.015 eV per atom
- Fermi-level density of states: 7.28 states/eV/cell
- Theoretical density: 12.96 g/cm3

Unit cell a=11.3510 b=4.8447 c=9.3249 alpha=90.00 beta=124.10 gamma=90.00
Last column: nearest neighbours and their distance in Å.
Space group C2/m (No. 12)
Unique sites:
Mg (0.0000, 0.0000, 0.0000) [2 per cell]  2 Au 2.42
Cu (0.0656, 0.5000, 0.7755) [4 per cell]  8 Au 2.57-2.80, 1 Cu 2.67
Cu (0.2074, 0.5000, 0.3309) [4 per cell]  8 Au 2.63-2.88, 1 Cu 2.67
Au (0.0000, 0.5000, 0.0000) [2 per cell]  2 Mg 2.42, 4 Cu 2.59-2.63
Au (0.0744, 0.0000, 0.3385) [4 per cell]  5 Cu 2.66-2.88, 2 Au 2.73-2.78, 1 Mg 2.77
Au (0.1456, 0.5000, 0.5665) [4 per cell]  5 Cu 2.57-2.79, 2 Au 2.78-2.81
Au (0.2147, 0.0000, 0.8897) [4 per cell]  4 Cu 2.66-2.80, 2 Au 2.73-2.80


This record from Alexandria via LeMat-Bulk describes crystalline RbIO2 at its relaxed geometry. The functional is PBE.

Calculated values
- V: 29.70 A^3/atom
- Energy above the lowest structure with this stoichiometry: 148 meV/atom
- Size of the total moment: 0.00 μB/f.u.
- Formation energy (no corrections): -2.1 eV/f.u.
- Theoretical density: 3.42 g/cm3

Unit cell a=7.7759 b=7.7759 c=15.7206 alpha=90.00 beta=90.00 gamma=90.00
Last column: nearest neighbours and their distance in Å.
Space group I4_1/a (No. 88, origin choice 2)
Unique sites:
Rb (0.0000, 0.0000, 0.0000) [8 per cell]  2 O 2.73
I (0.0000, 0.0000, 0.5000) [8 per cell]  2 O 2.24
O (0.0537, 0.3267, 0.3893) [16 per cell]  1 O 1.46


This record from Alexandria via LeMat-Bulk describes crystalline SrTi2Ge at its relaxed geometry. The functional is PBE.

Calculated values
- V: 26.33 A^3/atom
- Size of the total moment: 0.00 μB/f.u.
- Formation energy from the elements: 0.270 eV per atom
- Fermi-level density of states: 20.69 states/eV/cell
- Theoretical density: 4.04 g/cm3

Unit cell a=4.6704 b=4.6704 c=19.3143 alpha=90.00 beta=90.00 gamma=90.00
Last column: nearest neighbours and their distance in Å.
Space group I-42d (No. 122)
Unique sites:
Sr (0.0000, 0.0000, 0.0000) [4 per cell]  4 Ge 3.30, 8 Ti 3.52-3.59
Ti (0.0125, 0.2500, 0.6250) [8 per cell]  2 Ti 2.34
Ge (0.0000, 0.0000, 0.5000) [4 per cell]  4 Ti 2.68


This record from Alexandria via LeMat-Bulk describes crystalline SrEuCdBi at its relaxed geometry. The functional is PBE.

Calculated values
- V: 33.60 A^3/atom
- Size of the total moment: 7.46 μB/f.u.
- Formation energy from the elements: -0.584 eV per atom
- Fermi-level density of states: 14.16 states/eV/cell
- Theoretical density: 6.93 g/cm3

Unit cell a=8.1309 b=8.1309 c=8.1309 alpha=90.00 beta=90.00 gamma=90.00
Last column: nearest neighbours and their distance in Å.
Space group F-43m (No. 216)
Unique sites:
Sr (0.0000, 0.0000, 0.0000) [4 per cell]  4 Cd 3.52, 4 Bi 3.52
Eu (0.0000, 0.0000, 0.5000) [4 per cell]  4 Cd 3.52, 4 Bi 3.52
Cd (0.2500, 0.2500, 0.7500) [4 per cell]  4 Sr 3.52, 4 Eu 3.52
Bi (0.2500, 0.2500, 0.2500) [4 per cell]  4 Eu 3.52, 4 Sr 3.52


This record from Alexandria via LeMat-Bulk describes crystalline LiScFe2 at its relaxed geometry. The functional is PBE.

Calculated values
- V: 14.68 A^3/atom
- Size of the total moment: 3.81 μB/f.u.
- Formation energy from the elements: 0.188 eV per atom
- Fermi-level density of states: 2.01 states/eV/cell
- Theoretical density: 4.63 g/cm3

Unit cell a=2.7611 b=4.0172 c=5.4315 alpha=90.00 beta=102.89 gamma=90.00
Last column: nearest neighbours and their distance in Å.
Space group Pm (No. 6)
Unique sites:
Li (0.0000, 0.0000, 0.0000) [1 per cell]  3 Fe 2.50-2.61, 2 Li 2.76
Sc (0.6118, 0.5000, 0.3200) [1 per cell]  6 Fe 2.59-2.89, 2 Sc 2.76
Fe (0.1598, 0.0000, 0.5640) [1 per cell]  2 Fe 2.39, 1 Li 2.50
Fe (0.4788, 0.5000, 0.7766) [1 per cell]  2 Fe 2.39, 1 Sc 2.59, 2 Li 2.61


This record from Alexandria via LeMat-Bulk describes crystalline Ti3Ir2Rh at its relaxed geometry. The functional is PBE.

Calculated values
- V: 15.07 A^3/atom
- Size of the total moment: 0.00 μB/f.u.
- Formation energy from the elements: -0.806 eV per atom
- Fermi-level density of states: 34.04 states/eV/cell
- Theoretical density: 11.59 g/cm3

Unit cell a=4.1555 b=12.4865 c=6.9691 alpha=90.00 beta=90.00 gamma=90.00
Last column: nearest neighbours and their distance in Å.
Space group Cmmm (No. 65)
Unique sites:
Ti (0.0000, 0.0000, 0.2492) [4 per cell]  6 Ir 2.71-2.72, 2 Rh 2.72, 4 Ti 2.94
Ti (0.0000, 0.3336, 0.2500) [8 per cell]  3 Rh 2.71, 5 Ir 2.71-2.72, 4 Ti 2.94-2.95
Ir (0.0000, 0.1664, 0.5000) [4 per cell]  8 Ti 2.71-2.72, 4 Ir 2.94-2.95
Ir (0.0000, 0.5000, 0.0000) [2 per cell]  8 Ti 2.71, 4 Rh 2.95
Ir (0.0000, 0.5000, 0.5000) [2 per cell]  8 Ti 2.71-2.72, 4 Ir 2.94
Rh (0.0000, 0.1675, 0.0000) [4 per cell]  8 Ti 2.71-2.72, 2 Rh 2.93, 2 Ir 2.95